{
  "formula": "K12Zn3Hg5",
  "functional": "PBE",
  "state": "relaxed",
  "formation_energy_ev_per_atom": 0.079,
  "cell": [[-10.272, 10.272, 10.272], [10.272, -10.272, 10.272], [10.272, 10.272, -10.272]],
  "species": ["K", "K", "K", "K", "K", "K", "K", "K", "K", "K", "K", "K", "K", "K", "K", "K", "K", "K", "K", "K", "K", "K", "K", "K", "K", "K", "K", "K", "K", "K", "K", "K", "K", "K", "K", "K", "K", "K", "K", "K", "K", "K", "K", "K", "K", "K", "K", "K", "Zn", "Zn", "Zn", "Zn", "Zn", "Zn", "Zn", "Zn", "Zn", "Zn", "Zn", "Zn", "Hg", "Hg", "Hg", "Hg", "Hg", "Hg", "Hg", "Hg", "Hg", "Hg", "Hg", "Hg", "Hg", "Hg", "Hg", "Hg", "Hg", "Hg", "Hg", "Hg"],
  "fractional_positions": [[0.056, 0.227, 0.128], [0.056, 0.328, 0.927], [0.073, 0.628, 0.401], [0.073, 0.944, 0.672], [0.099, 0.727, 0.672], [0.099, 0.872, 0.427], [0.128, 0.056, 0.227], [0.128, 0.573, 0.901], [0.172, 0.227, 0.599], [0.172, 0.444, 0.573], [0.227, 0.128, 0.056], [0.227, 0.599, 0.172], [0.273, 0.328, 0.901], [0.273, 0.444, 0.372], [0.328, 0.901, 0.273], [0.328, 0.927, 0.056], [0.372, 0.273, 0.444], [0.372, 0.599, 0.927], [0.401, 0.073, 0.628], [0.401, 0.828, 0.773], [0.427, 0.099, 0.872], [0.427, 0.828, 0.556], [0.444, 0.372, 0.273], [0.444, 0.573, 0.172], [0.556, 0.427, 0.828], [0.556, 0.628, 0.727], [0.573, 0.172, 0.444], [0.573, 0.901, 0.128], [0.599, 0.172, 0.227], [0.599, 0.927, 0.372], [0.628, 0.401, 0.073], [0.628, 0.727, 0.556], [0.672, 0.073, 0.944], [0.672, 0.099, 0.727], [0.727, 0.556, 0.628], [0.727, 0.672, 0.099], [0.773, 0.401, 0.828], [0.773, 0.872, 0.944], [0.828, 0.556, 0.427], [0.828, 0.773, 0.401], [0.872, 0.427, 0.099], [0.872, 0.944, 0.773], [0.901, 0.128, 0.573], [0.901, 0.273, 0.328], [0.927, 0.056, 0.328], [0.927, 0.372, 0.599], [0.944, 0.672, 0.073], [0.944, 0.773, 0.872], [0.125, 0.250, 0.375], [0.125, 0.375, 0.750], [0.250, 0.375, 0.125], [0.250, 0.875, 0.625], [0.375, 0.125, 0.250], [0.375, 0.750, 0.125], [0.625, 0.250, 0.875], [0.625, 0.875, 0.750], [0.750, 0.125, 0.375], [0.750, 0.625, 0.875], [0.875, 0.625, 0.250], [0.875, 0.750, 0.625], [0.000, 0.000, 0.000], [0.000, 0.000, 0.500], [0.000, 0.500, 0.000], [0.000, 0.500, 0.500], [0.125, 0.750, 0.875], [0.125, 0.875, 0.250], [0.250, 0.125, 0.875], [0.250, 0.625, 0.375], [0.375, 0.250, 0.625], [0.375, 0.625, 0.750], [0.500, 0.000, 0.000], [0.500, 0.000, 0.500], [0.500, 0.500, 0.000], [0.500, 0.500, 0.500], [0.625, 0.375, 0.250], [0.625, 0.750, 0.375], [0.750, 0.375, 0.625], [0.750, 0.875, 0.125], [0.875, 0.125, 0.750], [0.875, 0.250, 0.125]]
}